[1]
Below is Tb2NdTm4Mg after structural relaxation, with properties calculated at the PBE level.

Computed properties:
energy: -32.60 eV per cell
M_tot: 1.82 Bohr magnetons per cell
energy relative to the elements: 87.9 kJ/mol of formula units

Geometry as CIF:
```
data_Tb2NdTm4Mg
_symmetry_space_group_name_H-M 'P 1'
_symmetry_Int_Tables_number 1
_symmetry_space_group_name_Hall 'P 1'
_cell_length_a 5.655
_cell_length_b 9.511
_cell_length_c 5.659
_cell_angle_alpha 53.47
_cell_angle_beta 90.00
_cell_angle_gamma 90.00
loop_
_atom_site_label
_atom_site_type_symbol
_atom_site_fract_x
_atom_site_fract_y
_atom_site_fract_z
_atom_site_occupancy
Tb1 Tb 0.000 0.000 0.000 1
Tb2 Tb 0.500 0.000 0.500 1
Nd1 Nd 0.500 0.500 0.000 1
Tm1 Tm 0.000 0.740 0.759 1
Tm2 Tm 0.000 0.260 0.241 1
Tm3 Tm 0.500 0.740 0.260 1
Tm4 Tm 0.500 0.260 0.740 1
Mg1 Mg 0.000 0.500 0.500 1
```

=====

[2]
Below is Tb2NdTm2Mg5 after structural relaxation, with properties calculated at the PBE level.

Computed properties:
energy: -60.55 eV per cell
M_tot: 0.00 Bohr magnetons per cell
energy relative to the elements: 64.8 kJ/mol of formula units

Geometry as CIF:
```
data_Tb2NdTm2Mg5
_symmetry_space_group_name_H-M 'P 1'
_symmetry_Int_Tables_number 1
_symmetry_space_group_name_Hall 'P 1'
_cell_length_a 5.106
_cell_length_b 10.595
_cell_length_c 10.595
_cell_angle_alpha 90.00
_cell_angle_beta 90.00
_cell_angle_gamma 90.00
loop_
_atom_site_label
_atom_site_type_symbol
_atom_site_fract_x
_atom_site_fract_y
_atom_site_fract_z
_atom_site_occupancy
Tb1 Tb 0.000 0.678 0.178 1
Tb2 Tb 0.000 0.322 0.822 1
Tb3 Tb 0.000 0.178 0.322 1
Tb4 Tb 0.000 0.822 0.678 1
Nd1 Nd 0.000 0.000 0.000 1
Nd2 Nd 0.000 0.500 0.500 1
Tm1 Tm 0.000 0.118 0.618 1
Tm2 Tm 0.000 0.882 0.382 1
Tm3 Tm 0.000 0.618 0.882 1
Tm4 Tm 0.000 0.382 0.118 1
Mg1 Mg 0.500 0.199 0.075 1
Mg2 Mg 0.500 0.801 0.925 1
Mg3 Mg 0.500 0.075 0.801 1
Mg4 Mg 0.500 0.699 0.425 1
Mg5 Mg 0.500 0.925 0.199 1
Mg6 Mg 0.500 0.301 0.575 1
Mg7 Mg 0.500 0.575 0.699 1
Mg8 Mg 0.500 0.425 0.301 1
Mg9 Mg 0.500 0.500 0.000 1
Mg10 Mg 0.500 0.000 0.500 1
```

=====

[3]
Below is Tb2Nd2Tm2Mg after structural relaxation, with properties calculated at the PBE level.

Computed properties:
energy: -28.73 eV per cell
M_tot: 0.00 Bohr magnetons per cell
energy relative to the elements: 58.7 kJ/mol of formula units

Geometry as CIF:
```
data_Tb2Nd2Tm2Mg
_symmetry_space_group_name_H-M 'P 1'
_symmetry_Int_Tables_number 1
_symmetry_space_group_name_Hall 'P 1'
_cell_length_a 3.661
_cell_length_b 6.349
_cell_length_c 11.586
_cell_angle_alpha 118.08
_cell_angle_beta 90.00
_cell_angle_gamma 106.76
loop_
_atom_site_label
_atom_site_type_symbol
_atom_site_fract_x
_atom_site_fract_y
_atom_site_fract_z
_atom_site_occupancy
Tb1 Tb 0.681 0.362 0.088 1
Tb2 Tb 0.319 0.638 0.912 1
Nd1 Nd 0.526 0.052 0.743 1
Nd2 Nd 0.474 0.948 0.257 1
Tm1 Tm 0.744 0.489 0.624 1
Tm2 Tm 0.256 0.511 0.376 1
Mg1 Mg 0.000 0.000 0.500 1
```

=====

[4]
Below is TbNd2Tm4Mg after structural relaxation, with properties calculated at the PBE level.

Computed properties:
energy: -33.37 eV per cell
M_tot: 0.00 Bohr magnetons per cell
energy relative to the elements: 26.8 kJ/mol of formula units

Geometry as CIF:
```
data_TbNd2Tm4Mg
_symmetry_space_group_name_H-M 'P 1'
_symmetry_Int_Tables_number 1
_symmetry_space_group_name_Hall 'P 1'
_cell_length_a 4.942
_cell_length_b 4.955
_cell_length_c 11.242
_cell_angle_alpha 63.80
_cell_angle_beta 90.00
_cell_angle_gamma 90.00
loop_
_atom_site_label
_atom_site_type_symbol
_atom_site_fract_x
_atom_site_fract_y
_atom_site_fract_z
_atom_site_occupancy
Tb1 Tb 0.000 0.500 0.500 1
Nd1 Nd 0.000 0.000 0.000 1
Nd2 Nd 0.500 0.000 0.500 1
Tm1 Tm 0.000 0.749 0.751 1
Tm2 Tm 0.000 0.251 0.249 1
Tm3 Tm 0.500 0.751 0.249 1
Tm4 Tm 0.500 0.249 0.751 1
Mg1 Mg 0.500 0.500 0.000 1
```

=====

[5]
Below is TbNdTmMg after structural relaxation, with properties calculated at the PBE level.

Computed properties:
energy: -15.56 eV per cell
polymorph energy (0 for the lowest one): 0.000 eV per atom
M_tot: 0.00 Bohr magnetons per cell
energy relative to the elements: -9.6 kJ/mol of formula units

Geometry as CIF:
```
data_TbNdTmMg
_symmetry_space_group_name_H-M 'P 1'
_symmetry_Int_Tables_number 1
_symmetry_space_group_name_Hall 'P 1'
_cell_length_a 3.641
_cell_length_b 3.641
_cell_length_c 9.095
_cell_angle_alpha 90.00
_cell_angle_beta 90.00
_cell_angle_gamma 90.00
loop_
_atom_site_label
_atom_site_type_symbol
_atom_site_fract_x
_atom_site_fract_y
_atom_site_fract_z
_atom_site_occupancy
Tb1 Tb 0.500 0.500 0.798 1
Nd1 Nd 0.000 0.000 0.074 1
Tm1 Tm 0.500 0.500 0.345 1
Mg1 Mg 0.000 0.000 0.567 1
```

=====

[6]
Below is Tb6Nd2TmMg after structural relaxation, with properties calculated at the PBE level.

Computed properties:
energy: -84.77 eV per cell
M_tot: 0.00 Bohr magnetons per cell
energy relative to the elements: 96.1 kJ/mol of formula units

Geometry as CIF:
```
data_Tb6Nd2TmMg
_symmetry_space_group_name_H-M 'P 1'
_symmetry_Int_Tables_number 1
_symmetry_space_group_name_Hall 'P 1'
_cell_length_a 6.616
_cell_length_b 11.036
_cell_length_c 11.036
_cell_angle_alpha 126.69
_cell_angle_beta 86.15
_cell_angle_gamma 86.15
loop_
_atom_site_label
_atom_site_type_symbol
_atom_site_fract_x
_atom_site_fract_y
_atom_site_fract_z
_atom_site_occupancy
Tb1 Tb 0.027 0.089 0.795 1
Tb2 Tb 0.473 0.205 0.911 1
Tb3 Tb 0.973 0.911 0.205 1
Tb4 Tb 0.527 0.795 0.089 1
Tb5 Tb 0.277 0.916 0.439 1
Tb6 Tb 0.223 0.561 0.084 1
Tb7 Tb 0.723 0.084 0.561 1
Tb8 Tb 0.777 0.439 0.916 1
Tb9 Tb 0.017 0.702 0.532 1
Tb10 Tb 0.483 0.468 0.298 1
Tb11 Tb 0.983 0.298 0.468 1
Tb12 Tb 0.517 0.532 0.702 1
Nd1 Nd 0.504 0.817 0.652 1
Nd2 Nd 0.996 0.348 0.183 1
Nd3 Nd 0.496 0.183 0.348 1
Nd4 Nd 0.004 0.652 0.817 1
Tm1 Tm 0.250 0.994 0.006 1
Tm2 Tm 0.750 0.006 0.994 1
Mg1 Mg 0.250 0.294 0.706 1
Mg2 Mg 0.750 0.706 0.294 1
```